Ca3CeSm2Se6, optimized geometry, DFT GGA-PBE; size of the total moment = 0.117 μB per atom; space group = No. 12; volume = 313.6 Å³ per cell; raw total energy = -64.9 eV for the cell shown; uncorrected formation energy = -2182 kJ/mol of formula units
1.0
3.611 -6.250 0.000
3.611 6.250 0.000
-2.403 0.000 6.949
Ca Ce Sm Se
3 1 2 6
Cartesian
0.000 0.000 0.000
3.611 2.087 0.000
3.611 -2.087 0.000
2.409 0.000 3.475
2.409 4.168 3.475
2.409 -4.168 3.475
1.199 2.093 1.711
-0.008 0.000 5.239
1.199 -2.093 1.711
3.619 2.093 5.239
4.826 0.000 1.710
3.619 -2.093 5.239